Here is a relaxed Hg3F crystal from the Alexandria database. Energies are from GGA-PBE.

Cell lengths 3.9905, 7.8933, 5.7947 Å; angles 90.00, 90.00, 90.00 degrees
Sites, in units of the cell vectors:
1 Hg 0.0000 0.0000 0.0000
2 Hg 0.0000 0.2179 0.4989
3 Hg 0.0000 0.7821 0.4989
4 Hg 0.5000 0.2821 0.9989
5 Hg 0.5000 0.5000 0.5000
6 Hg 0.5000 0.7179 0.9989
7 F 0.0000 0.5000 0.9999
8 F 0.5000 0.0000 0.4999

Computed properties:
Uncorrected formation energy = -11.31 kcal/mol of atoms
E_tot = -1.185 eV/atom

=====

Here is a relaxed HgF crystal from the Alexandria database. Energies are from GGA-PBE.

Cell lengths 7.8245, 7.8245, 3.5069 Å; angles 90.00, 90.00, 90.00 degrees
Sites, in units of the cell vectors:
1 Hg 0.1176 0.1176 0.0000
2 Hg 0.3824 0.6176 0.5000
3 Hg 0.6176 0.3824 0.5000
4 Hg 0.8824 0.8824 0.0000
5 F 0.2443 0.7557 0.0000
6 F 0.2557 0.2557 0.5000
7 F 0.7443 0.7443 0.5000
8 F 0.7557 0.2443 0.0000

Computed properties:
Uncorrected formation energy = -24.35 kcal/mol of atoms
E_tot = -2.143 eV/atom